Entry 1:
The following is a DFT calculation (meta-GGA SCAN) of a crystal of ReAg2Os relaxed with PBEsol.

Cell lengths 2.637, 4.449, 5.207 Å; angles 90.00, 90.00, 90.00 degrees
Element x y z (fractional)
Ag1 0.000 0.000 0.251
Os1 0.500 0.500 0.000
Ag2 0.000 0.000 0.749
Re1 0.500 0.500 0.500

Values from the calculation:
DOS(E_F) (states/eV per cell): 3.20
Total magnetization (μB per formula unit): 0.00
Formation energy from the elements (eV/atom): 0.879
Crystal system: orthorhombic

***

Entry 2:
The following is a DFT calculation (meta-GGA SCAN) of a crystal of Mg2AlTe relaxed with PBEsol.

Cell lengths 3.770, 3.770, 6.255 Å; angles 90.00, 90.00, 90.00 degrees
Element x y z (fractional)
Mg1 0.000 0.000 0.241
Al1 0.500 0.500 0.000
Te1 0.500 0.500 0.500
Mg2 0.000 0.000 0.759

Values from the calculation:
DOS(E_F) (states/eV per cell): 1.51
Total magnetization (μB per formula unit): 0.00
Crystal system: tetragonal
Uncorrected energy (eV per atom): -13.870

***

Entry 3:
The following is a DFT calculation (meta-GGA SCAN) of a crystal of ZrCuSi relaxed with PBEsol.

Cell lengths 3.724, 3.724, 7.113 Å; angles 105.17, 105.17, 90.00 degrees
Element x y z (fractional)
Zr1 0.829 0.829 0.658
Zr2 0.171 0.171 0.342
Si1 0.379 0.379 0.758
Si2 0.621 0.621 0.242
Cu1 0.000 0.500 0.000
Cu2 0.500 0.000 0.000

Values from the calculation:
DOS(E_F) (states/eV per cell): 2.20
Total magnetization (μB per formula unit): 0.00
Crystal system: tetragonal
Uncorrected energy (eV per atom): -19.355

***

Entry 4:
The following is a DFT calculation (meta-GGA SCAN) of a crystal of NaTi2Cl relaxed with PBEsol.

Cell lengths 4.312, 4.312, 9.733 Å; angles 102.80, 102.80, 90.00 degrees
Element x y z (fractional)
Ti1 0.625 0.875 0.750
Ti2 0.125 0.875 0.750
Na1 0.750 0.250 0.500
Ti3 0.125 0.375 0.250
Cl1 0.250 0.750 0.500
Ti4 0.125 0.875 0.250
Cl2 0.000 0.000 0.000
Na2 0.500 0.500 0.000

Values from the calculation:
DOS(E_F) (states/eV per cell): 5.15
Total magnetization (μB per formula unit): 0.00
Crystal system: tetragonal
Uncorrected energy (eV per atom): -10.698

***

Entry 5:
The following is a DFT calculation (meta-GGA SCAN) of a crystal of AuSeBr relaxed with PBEsol.

Cell lengths 3.911, 3.911, 5.088 Å; angles 90.00, 90.00, 120.00 degrees
Element x y z (fractional)
Se1 0.667 0.333 0.269
Br1 0.333 0.667 0.702
Au1 0.000 0.000 0.029

Values from the calculation:
DOS(E_F) (states/eV per cell): 2.25
Total magnetization (μB per formula unit): 0.00
Crystal system: trigonal
Uncorrected energy (eV per atom): -36.137

***

Entry 6:
The following is a DFT calculation (meta-GGA SCAN) of a crystal of LaTa2PPt relaxed with PBEsol.

Cell lengths 4.558, 4.700, 4.700 Å; angles 90.00, 90.00, 90.00 degrees
Element x y z (fractional)
La1 0.500 0.500 0.500
Ta1 0.000 0.000 0.500
Ta2 0.000 0.500 0.000
Pt1 0.500 0.000 0.000
P1 0.000 0.000 0.000

Values from the calculation:
DOS(E_F) (states/eV per cell): 3.92
Total magnetization (μB per formula unit): 0.00
Formation energy from the elements (eV/atom): -0.046
Crystal system: tetragonal

***

Entry 7:
The following is a DFT calculation (meta-GGA SCAN) of a crystal of KAg2P relaxed with PBEsol.

Cell lengths 2.836, 5.539, 5.539 Å; angles 113.70, 90.00, 90.00 degrees
Element x y z (fractional)
K1 0.500 0.000 0.000
Ag1 0.000 0.500 0.000
P1 0.500 0.500 0.500
Ag2 0.000 0.000 0.500

Values from the calculation:
DOS(E_F) (states/eV per cell): 1.32
Total magnetization (μB per formula unit): 0.00
Formation energy from the elements (eV/atom): 0.453
Crystal system: orthorhombic

***

Entry 8:
The following is a DFT calculation (meta-GGA SCAN) of a crystal of Ca2CuNi2 relaxed with PBEsol.

Cell lengths 5.108, 5.108, 5.108 Å; angles 85.66, 62.47, 117.53 degrees
Element x y z (fractional)
Ca1 0.500 0.250 0.250
Cu1 0.000 0.000 0.000
Ca2 0.500 0.750 0.750
Ni1 0.000 0.662 0.338
Ni2 0.000 0.338 0.662

Values from the calculation:
DOS(E_F) (states/eV per cell): 2.36
Total magnetization (μB per formula unit): 0.00
Formation energy from the elements (eV/atom): 0.213
Crystal system: tetragonal

***

Entry 9:
The following is a DFT calculation (meta-GGA SCAN) of a crystal of RbHf2Br9 relaxed with PBEsol.

Cell lengths 6.802, 9.989, 12.734 Å; angles 112.55, 90.00, 90.00 degrees
Element x y z (fractional)
Br1 0.415 0.070 0.153
Br2 0.887 0.049 0.657
Br3 0.589 0.356 0.058
Br4 0.887 0.451 0.843
Br5 0.029 0.750 0.750
Br6 0.411 0.644 0.942
Br7 0.415 0.430 0.347
Rb1 0.579 0.750 0.250
Br8 0.112 0.339 0.552
Rb2 0.421 0.250 0.750
Br9 0.888 0.661 0.448
Br10 0.411 0.856 0.558
Hf1 0.265 0.189 0.367
Br11 0.971 0.250 0.250
Hf2 0.735 0.811 0.633
Hf3 0.735 0.689 0.867
Br12 0.585 0.930 0.847
Br13 0.113 0.549 0.157
Br14 0.585 0.570 0.653
Br15 0.112 0.161 0.948
Br16 0.888 0.839 0.052
Hf4 0.265 0.311 0.133
Br17 0.589 0.144 0.442
Br18 0.113 0.951 0.343

Values from the calculation:
DOS(E_F) (states/eV per cell): 0.00
Total magnetization (μB per formula unit): 0.00
Crystal system: monoclinic
Uncorrected energy (eV per atom): -28.395

***

Entry 10:
The following is a DFT calculation (meta-GGA SCAN) of a crystal of CrI2N2 relaxed with PBEsol.

Cell lengths 4.009, 4.009, 7.259 Å; angles 90.00, 90.00, 90.00 degrees
Element x y z (fractional)
Cr1 0.500 0.500 0.500
I1 0.000 0.000 0.500
N1 0.000 0.500 0.000
I2 0.000 0.000 0.000
N2 0.500 0.000 0.000

Values from the calculation:
DOS(E_F) (states/eV per cell): 2.42
Total magnetization (μB per formula unit): 4.72
Crystal system: tetragonal
Uncorrected energy (eV per atom): -20.420

***

Entry 11:
The following is a DFT calculation (meta-GGA SCAN) of a crystal of Li2NiP2O7 relaxed with PBEsol.

Cell lengths 4.979, 7.889, 13.101 Å; angles 90.00, 90.00, 92.25 degrees
Element x y z (fractional)
O1 0.364 0.631 0.611
Li1 0.251 0.670 0.798
O2 0.816 0.217 0.076
P1 0.760 0.026 0.321
Ni1 0.212 0.244 0.837
O3 0.956 0.152 0.268
O4 0.897 0.680 0.538
O5 0.544 0.348 0.768
O6 0.032 0.456 0.788
O7 0.532 0.956 0.712
O8 0.103 0.320 0.462
P2 0.202 0.726 0.530
O9 0.351 0.343 0.191
O10 0.864 0.131 0.889
O11 0.603 0.820 0.038
P3 0.240 0.974 0.679
O12 0.149 0.157 0.691
O13 0.636 0.369 0.389
O14 0.851 0.843 0.309
Ni2 0.288 0.256 0.337
Li2 0.751 0.170 0.702
O15 0.729 0.429 0.940
P4 0.260 0.526 0.179
P5 0.740 0.474 0.821
Li3 0.340 0.372 0.616
O16 0.684 0.283 0.576
O17 0.968 0.544 0.212
O18 0.397 0.180 0.962
O19 0.044 0.848 0.732
P6 0.798 0.274 0.470
O20 0.771 0.071 0.440
O21 0.136 0.869 0.111
Li4 0.840 0.872 0.884
O22 0.649 0.657 0.809
O23 0.468 0.044 0.288
Li5 0.749 0.330 0.202
O24 0.229 0.929 0.560
Ni3 0.788 0.756 0.163
Li6 0.160 0.128 0.116
Li7 0.249 0.830 0.298
O25 0.271 0.571 0.060
P7 0.702 0.226 0.970
O26 0.184 0.783 0.924
P8 0.298 0.774 0.030
O27 0.456 0.652 0.232
O28 0.316 0.717 0.424
Li8 0.660 0.628 0.384
Ni4 0.712 0.744 0.663

Values from the calculation:
DOS(E_F) (states/eV per cell): 0.00
Total magnetization (μB per formula unit): 1.95
Crystal system: monoclinic
Uncorrected energy (eV per atom): -9.459

***

Entry 12:
The following is a DFT calculation (meta-GGA SCAN) of a crystal of GaBAs2Br relaxed with PBEsol.

Cell lengths 4.821, 4.821, 5.135 Å; angles 90.00, 90.00, 90.00 degrees
Element x y z (fractional)
Br1 0.000 0.000 0.500
Ga1 0.000 0.000 0.000
B1 0.500 0.500 0.500
As1 0.000 0.500 0.000
As2 0.500 0.000 0.000

Values from the calculation:
DOS(E_F) (states/eV per cell): 2.38
Total magnetization (μB per formula unit): 1.13
Crystal system: tetragonal
Uncorrected energy (eV per atom): -15.341

***

Copy entry 6 word for word.
The following is a DFT calculation (meta-GGA SCAN) of a crystal of LaTa2PPt relaxed with PBEsol.

Cell lengths 4.558, 4.700, 4.700 Å; angles 90.00, 90.00, 90.00 degrees
Element x y z (fractional)
La1 0.500 0.500 0.500
Ta1 0.000 0.000 0.500
Ta2 0.000 0.500 0.000
Pt1 0.500 0.000 0.000
P1 0.000 0.000 0.000

Values from the calculation:
DOS(E_F) (states/eV per cell): 3.92
Total magnetization (μB per formula unit): 0.00
Formation energy from the elements (eV/atom): -0.046
Crystal system: tetragonal

***

Question: DOS(E_F) of number 5 (AuSeBr)?
Answer: 2.25 states/eV per cell

***

Question: What is the total magnetization in the fifth record?
Answer: 0.00 μB per formula unit

***

Question: What is the DOS(E_F) in the seventh record?
Answer: 1.32 states/eV per cell